(1)
VASP calculation (PBE-GGA) on an optimized crystal structure of NdPuTlCd.

Values from the calculation:
Space group   F-43m (216)
Uncorrected energy   -22.972 eV per formula unit

a = 5.4475 Å, b = 5.4475 Å, c = 5.4475 Å
α = 60.00°, β = 60.00°, γ = 60.00°
Closest atoms and distances in Å follow each position.
Atoms (fractional coordinates):
Nd 0.0000 0.0000 0.0000  4 Cd 3.34, 4 Tl 3.34
Tl 0.7500 0.7500 0.7500  4 Nd 3.34, 4 Pu 3.34
Pu 0.5000 0.5000 0.5000  4 Tl 3.34, 4 Cd 3.34
Cd 0.2500 0.2500 0.2500  4 Nd 3.34, 4 Pu 3.34

(2)
VASP calculation (PBE-GGA) on an optimized crystal structure of NdTmPuCd.

Values from the calculation:
Space group   F-43m (216)
Uncorrected energy   -24.162 eV per formula unit

a = 5.4415 Å, b = 5.4415 Å, c = 5.4415 Å
α = 60.00°, β = 60.00°, γ = 60.00°
Closest atoms and distances in Å follow each position.
Atoms (fractional coordinates):
Pu 0.2500 0.2500 0.2500  4 Nd 3.33, 4 Tm 3.33
Tm 0.5000 0.5000 0.5000  4 Cd 3.33, 4 Pu 3.33
Nd 0.0000 0.0000 0.0000  4 Pu 3.33, 4 Cd 3.33
Cd 0.7500 0.7500 0.7500  4 Tm 3.33, 4 Nd 3.33

(3)
VASP calculation (PBE-GGA) on an optimized crystal structure of RbNdCd.

Values from the calculation:
Space group   Amm2 (38)
Uncorrected energy   -6.071 eV per formula unit

a = 3.8716 Å, b = 3.8629 Å, c = 18.6149 Å
α = 90.00°, β = 90.00°, γ = 120.08°
Closest atoms and distances in Å follow each position.
Atoms (fractional coordinates):
Rb 0.2749 0.5498 0.8346  3 Cd 3.80-3.81, 6 Rb 3.86-3.87
Rb 0.2749 0.5498 0.1654  3 Cd 3.80-3.81, 6 Rb 3.86-3.87
Cd 0.6106 0.2212 0.0000  6 Rb 3.80-3.81, 6 Cd 3.86-3.87
Cd 0.2794 0.5589 0.5000  6 Nd 3.30
Nd 0.6134 0.2268 0.3697  3 Cd 3.30
Nd 0.6134 0.2268 0.6303  3 Cd 3.30

(4)
VASP calculation (PBE-GGA) on an optimized crystal structure of RbNdCd17.

Values from the calculation:
Space group   R3m (160)
Uncorrected energy   -23.078 eV per formula unit

a = 7.7954 Å, b = 7.7954 Å, c = 7.7954 Å
α = 82.52°, β = 82.52°, γ = 82.52°
Closest atoms and distances in Å follow each position.
Atoms (fractional coordinates):
Cd 0.3490 0.8639 0.3490  9 Cd 2.94-3.23
Cd 0.9885 0.9885 0.5125  10 Cd 2.96-3.23
Cd 0.7015 0.0022 0.2950  8 Cd 2.96-3.26
Cd 0.2950 0.0022 0.7015  8 Cd 2.96-3.26
Cd 0.9885 0.5125 0.9885  10 Cd 2.96-3.23
Cd 0.7015 0.2950 0.0022  8 Cd 2.96-3.26
Cd 0.0022 0.7015 0.2950  8 Cd 2.96-3.26
Cd 0.9072 0.9072 0.9072  10 Cd 3.01-3.36
Cd 0.1059 0.1059 0.1059  7 Cd 3.01-3.23
Cd 0.6309 0.6309 0.1832  8 Cd 2.94-3.26
Cd 0.8639 0.3490 0.3490  9 Cd 2.94-3.23
Cd 0.3490 0.3490 0.8639  9 Cd 2.94-3.23
Cd 0.1832 0.6309 0.6309  8 Cd 2.94-3.26
Cd 0.2950 0.7015 0.0022  8 Cd 2.96-3.26
Cd 0.6309 0.1832 0.6309  8 Cd 2.94-3.26
Cd 0.5125 0.9885 0.9885  10 Cd 2.96-3.23
Cd 0.0022 0.2950 0.7015  8 Cd 2.96-3.26
Rb 0.6622 0.6622 0.6622  19 Cd 3.65-4.01
Nd 0.3309 0.3309 0.3309  13 Cd 3.41-3.61